{
  "formula": "HfMoRu2",
  "functional": "PBE-GGA",
  "state": "relaxed",
  "final_energy_ev_per_atom": -10.006,
  "ef_mev_per_atom": -172,
  "lattice_angstrom": [[0.000, 3.178, 3.178], [3.178, 0.000, 3.178], [3.178, 3.178, 0.000]],
  "species": ["Ru", "Ru", "Mo", "Hf"],
  "frac_coords": [[0.250, 0.250, 0.250], [0.750, 0.750, 0.750], [0.000, 0.000, 0.000], [0.500, 0.500, 0.500]]
}

{
  "formula": "Mg2AlAg",
  "functional": "PBE-GGA",
  "state": "relaxed",
  "final_energy_ev_per_atom": -2.500,
  "ef_mev_per_atom": -54,
  "lattice_angstrom": [[-3.690, 0.749, 3.608], [1.635, -1.777, 4.622], [2.183, 3.200, -3.491]],
  "species": ["Mg", "Mg", "Al", "Ag"],
  "frac_coords": [[0.000, 0.000, 0.000], [0.250, 0.750, 0.500], [0.750, 0.250, 0.500], [0.500, 0.500, 0.000]]
}

{
  "formula": "KTi",
  "functional": "PBE-GGA",
  "state": "relaxed",
  "final_energy_ev_per_atom": -3.356,
  "ef_mev_per_atom": 1140,
  "lattice_angstrom": [[-2.973, 0.453, 0.763], [0.825, -2.537, -1.584], [1.915, -6.408, 11.262]],
  "species": ["K", "K", "Ti", "Ti"],
  "frac_coords": [[0.333, 0.667, 0.416], [0.667, 0.333, 0.916], [0.333, 0.667, 0.666], [0.667, 0.333, 0.166]]
}

{
  "formula": "CuAgPt2",
  "functional": "PBE-GGA",
  "state": "relaxed",
  "final_energy_ev_per_atom": -4.840,
  "ef_mev_per_atom": -83,
  "lattice_angstrom": [[-4.037, -2.051, 1.856], [-1.978, -3.925, 2.153], [0.365, 1.135, 4.623]],
  "species": ["Cu", "Ag", "Pt", "Pt"],
  "frac_coords": [[0.250, 0.250, 0.250], [0.750, 0.750, 0.750], [0.992, 0.992, 0.010], [0.508, 0.508, 0.490]]
}